[1]
Below is YMo2Ru after structural relaxation, with properties calculated at the PBE level.

Calculated values
- Polymorph energy (0 for the lowest one): 198 meV per atom

a = 5.4317 Å, b = 5.4317 Å, c = 2.8891 Å
α = 99.09°, β = 99.09°, γ = 120.27°
With the nearest neighbours (Å) after each atom.
Element x y z (fractional)
Y: 0.0000 0.0000 0.0000  2 Ru 2.70, 4 Mo 2.87, 2 Y 2.89
Mo: 0.0000 0.5000 0.5000  4 Mo 2.70-2.89, 2 Ru 2.87, 2 Y 2.87
Mo: 0.5000 0.0000 0.5000  4 Mo 2.70-2.89, 2 Ru 2.87, 2 Y 2.87
Ru: 0.5000 0.5000 0.0000  2 Y 2.70, 4 Mo 2.87, 2 Ru 2.89

[2]
Below is Y2MoRu after structural relaxation, with properties calculated at the PBE level.

Calculated values
- Polymorph energy (0 for the lowest one): 302 meV per atom

a = 4.8373 Å, b = 4.8373 Å, c = 4.8373 Å
α = 60.00°, β = 60.00°, γ = 60.00°
With the nearest neighbours (Å) after each atom.
Element x y z (fractional)
Y: 0.0000 0.0000 0.0000  4 Ru 2.96, 4 Y 2.96
Y: 0.2500 0.2500 0.2500  4 Mo 2.96, 4 Y 2.96
Mo: 0.5000 0.5000 0.5000  4 Ru 2.96, 4 Y 2.96
Ru: 0.7500 0.7500 0.7500  4 Y 2.96, 4 Mo 2.96

[3]
Below is YMoRu2 after structural relaxation, with properties calculated at the PBE level.

Calculated values
- Polymorph energy (0 for the lowest one): 353 meV per atom

a = 3.3145 Å, b = 4.2919 Å, c = 4.8319 Å
α = 90.00°, β = 90.00°, γ = 90.00°
With the nearest neighbours (Å) after each atom.
Element x y z (fractional)
Y: 0.0000 0.0000 0.0000  4 Ru 2.71, 4 Mo 2.93
Mo: 0.5000 0.0000 0.5000  4 Ru 2.71, 4 Y 2.93
Ru: 0.0000 0.5000 0.5000  4 Mo 2.71, 4 Ru 2.93
Ru: 0.5000 0.5000 0.0000  4 Y 2.71, 4 Ru 2.93

[4]
Below is YMo2Ru after structural relaxation, with properties calculated at the PBE level.

Calculated values
- Polymorph energy (0 for the lowest one): 0 meV per atom

a = 3.2315 Å, b = 3.2315 Å, c = 6.8721 Å
α = 90.00°, β = 90.00°, γ = 90.00°
With the nearest neighbours (Å) after each atom.
Element x y z (fractional)
Y: 0.0000 0.0000 0.0000  4 Ru 2.96, 4 Mo 3.06, 4 Y 3.23
Mo: 0.0000 0.0000 0.5015  4 Mo 2.69, 4 Ru 2.76
Mo: 0.5000 0.5000 0.2959  4 Mo 2.69, 1 Ru 2.96
Ru: 0.5000 0.5000 0.7262  5 Mo 2.76-2.96, 4 Y 2.96

[5]
Below is ZnMo2Ru after structural relaxation, with properties calculated at the PBE level.

a = 4.3900 Å, b = 4.3900 Å, c = 4.3900 Å
α = 60.00°, β = 60.00°, γ = 60.00°
With the nearest neighbours (Å) after each atom.
Element x y z (fractional)
Zn: 0.0000 0.0000 0.0000  4 Mo 2.69, 4 Ru 2.69
Mo: 0.2500 0.2500 0.2500  4 Mo 2.69, 4 Zn 2.69
Mo: 0.5000 0.5000 0.5000  4 Mo 2.69, 4 Ru 2.69
Ru: 0.7500 0.7500 0.7500  4 Mo 2.69, 4 Zn 2.69

[6]
Below is Zn2MoRu after structural relaxation, with properties calculated at the PBE level.

Calculated values
- Polymorph energy (0 for the lowest one): 94 meV per atom

a = 4.6210 Å, b = 4.6210 Å, c = 4.7737 Å
α = 97.87°, β = 97.87°, γ = 35.36°
With the nearest neighbours (Å) after each atom.
Element x y z (fractional)
Zn: 0.0000 0.0000 0.0000  5 Zn 2.53-2.81, 4 Mo 2.75-2.79, 3 Ru 2.76-2.81
Zn: 0.2480 0.2480 0.7900  5 Zn 2.53-2.81, 3 Mo 2.76-2.83, 4 Ru 2.77
Mo: 0.4958 0.4958 0.4949  3 Ru 2.52-2.69, 5 Zn 2.75-2.79, 2 Mo 2.81
Ru: 0.7441 0.7441 0.2894  3 Mo 2.52-2.69, 7 Zn 2.76-2.81, 2 Ru 2.81

[7]
Below is Zn4MoRu after structural relaxation, with properties calculated at the PBE level.

a = 4.9030 Å, b = 4.9030 Å, c = 4.9030 Å
α = 60.00°, β = 60.00°, γ = 60.00°
With the nearest neighbours (Å) after each atom.
Element x y z (fractional)
Zn: 0.1252 0.1252 0.1252  6 Zn 2.45-2.46
Zn: 0.1252 0.1252 0.6244  6 Zn 2.45-2.46
Zn: 0.1252 0.6244 0.1252  6 Zn 2.45-2.46
Zn: 0.6244 0.1252 0.1252  6 Zn 2.45-2.46
Mo: 0.5000 0.5000 0.5000  12 Zn 2.87, 4 Ru 3.00
Ru: 0.7500 0.7500 0.7500  12 Zn 2.88, 4 Mo 3.00

[8]
Below is ZnMo2Ru after structural relaxation, with properties calculated at the PBE level.

a = 2.7996 Å, b = 3.8611 Å, c = 5.5337 Å
α = 90.00°, β = 90.00°, γ = 90.00°
With the nearest neighbours (Å) after each atom.
Element x y z (fractional)
Zn: 0.0000 0.0000 0.0000  6 Mo 2.70-2.84, 4 Ru 2.71, 2 Zn 2.80
Mo: 0.0000 0.0000 0.5128  2 Zn 2.70-2.84, 4 Ru 2.77, 6 Mo 2.80-2.82
Mo: 0.5000 0.5000 0.2414  2 Ru 2.63-2.90, 4 Zn 2.73, 6 Mo 2.80-2.82
Ru: 0.5000 0.5000 0.7658  6 Mo 2.63-2.90, 4 Zn 2.71, 2 Ru 2.80

no.,M_tot (μB/atom),ΔE_f (eV per atom),uncorrected energy (eV per cell)
1,0.0000,0.31,-36.149
2,0.0000,0.33,-31.713
3,0.0000,0.31,-34.613
4,0.0000,0.11,-36.943
5,0.0001,0.15,-31.617
6,0.0000,0.07,-22.388
7,0.0034,0.10,-24.595
8,0.0000,0.14,-31.655